This record from Alexandria describes a crystal of RbTeN2Cl relaxed with PBEsol. The functional is meta-GGA SCAN.

Unit cell a=5.5140 b=5.5140 c=5.1995 alpha=90.00 beta=90.00 gamma=90.00
Space group P4/mmm (No. 123)
Symmetry-distinct sites (fractional):
Rb 0.0000 0.0000 0.0000 x1
Te 0.5000 0.5000 0.0000 x1
N 0.0000 0.5000 0.5000 x2
Cl 0.5000 0.5000 0.5000 x1

Computed properties:
N(E_F), states/eV/atom: 0.293
Formation energy without anion corrections, eV/atom: 1.39

---

This record from Alexandria describes a crystal of NiWO4 relaxed with PBEsol. The functional is meta-GGA SCAN.

Unit cell a=4.5200 b=5.6154 c=4.9045 alpha=90.00 beta=90.04 gamma=90.00
Space group P2/c (No. 13)
Symmetry-distinct sites (fractional):
Ni 0.0000 0.1516 0.2500 x2
W 0.5000 0.3235 0.7500 x2
O 0.2369 0.1198 0.9082 x4
O 0.2749 0.3894 0.4267 x4

Computed properties:
Formation energy without anion corrections, eV/atom: -1.99

---

This record from Alexandria describes a crystal of ZrAl3In relaxed with PBEsol. The functional is meta-GGA SCAN.

Unit cell a=4.9620 b=4.9620 c=4.9620 alpha=90.00 beta=90.00 gamma=90.00
Space group Pm-3m (No. 221)
Symmetry-distinct sites (fractional):
Zr 0.0000 0.0000 0.0000 x1
Al 0.0000 0.5000 0.5000 x3
In 0.5000 0.5000 0.5000 x1

Computed properties:
Formation energy, eV/atom: 0.99
N(E_F), states/eV/atom: 0.707

---

This record from Alexandria describes a crystal of FeTeOsN2 relaxed with PBEsol. The functional is meta-GGA SCAN.

Unit cell a=3.6119 b=3.6119 c=5.3968 alpha=90.00 beta=90.00 gamma=90.00
Space group P4/mmm (No. 123)
Symmetry-distinct sites (fractional):
Fe 0.0000 0.0000 0.0000 x1
Te 0.0000 0.0000 0.5000 x1
Os 0.5000 0.5000 0.5000 x1
N 0.0000 0.5000 0.0000 x2

Computed properties:
Energy above the lowest structure with this stoichiometry, meV per atom: 690
N(E_F), states/eV/atom: 0.763
Formation energy without anion corrections, eV/atom: 1.48

---

This record from Alexandria describes a crystal of SiRh2 relaxed with PBEsol. The functional is meta-GGA SCAN.

Unit cell a=2.8112 b=2.8112 c=20.4540 alpha=90.00 beta=90.00 gamma=90.00
Space group I4_1/amd (No. 141, origin choice 2)
Symmetry-distinct sites (fractional):
Si 0.0000 0.2500 0.3750 x4
Rh 0.0000 0.2500 0.8062 x8

Computed properties:
N(E_F), states/eV/atom: 0.587
Formation energy without anion corrections, eV/atom: -0.66

---

This record from Alexandria describes a crystal of LiIn2Hg relaxed with PBEsol. The functional is meta-GGA SCAN.

Unit cell a=3.3145 b=3.3145 c=28.1208 alpha=90.00 beta=90.00 gamma=120.00
Space group R3m (No. 160, hexagonal axes)
Symmetry-distinct sites (fractional):
Li 0.0000 0.0000 0.0000 x3
In 0.0000 0.0000 0.2525 x3
In 0.0000 0.0000 0.4940 x3
Hg 0.0000 0.0000 0.7385 x3

Computed properties:
Formation energy, eV/atom: -0.16
N(E_F), states/eV/atom: 0.354

---

This record from Alexandria describes a crystal of TaMn2Ni relaxed with PBEsol. The functional is meta-GGA SCAN.

Unit cell a=5.0714 b=8.3507 c=2.5986 alpha=90.00 beta=113.82 gamma=90.00
Space group C2/m (No. 12)
Symmetry-distinct sites (fractional):
Ta 0.0000 0.0000 0.0000 x2
Mn 0.2500 0.2500 0.5000 x4
Ni 0.0000 0.5000 0.0000 x2

Computed properties:
Energy above the lowest structure with this stoichiometry, meV per atom: 156
Formation energy, eV/atom: 0.03
N(E_F), states/eV/atom: 0.746

---

This record from Alexandria describes a crystal of LiMg2Ta relaxed with PBEsol. The functional is meta-GGA SCAN.

Unit cell a=2.7832 b=4.3780 c=6.1591 alpha=90.00 beta=95.33 gamma=90.00
Space group P2/m (No. 10)
Symmetry-distinct sites (fractional):
Li 0.0000 0.0000 0.0000 x1
Mg 0.4569 0.5000 0.2502 x2
Ta 0.0000 0.0000 0.5000 x1

Computed properties:
Energy above the lowest structure with this stoichiometry, meV per atom: 0
Formation energy, eV/atom: 0.33
N(E_F), states/eV/atom: 0.600